[1]
Density functional theory data (PBE-GGA) for Cs2TmGaS4 after structural relaxation.

abc: 6.1411 14.6431 25.9378
angles: 90.00 90.00 90.00
Space group Fddd (No. 70, origin choice 2)
One atom of each set of equivalent atoms:
Cs 0.1250 0.1250 0.3033 (multiplicity 16)
Tm 0.1250 0.1250 0.1250 (multiplicity 8)
Ga 0.1250 0.1250 0.6250 (multiplicity 8)
S 0.0977 0.2816 0.8249 (multiplicity 32)

Computed properties:
- Formation energy from raw total energies: -1.339 eV/atom
- Total moment: 0.0 μB/f.u.

[2]
Density functional theory data (PBE-GGA) for CsTmGaS4 after structural relaxation.

abc: 6.8432 5.7101 9.8546
angles: 90.00 104.82 90.00
Space group P2_1/m (No. 11)
One atom of each set of equivalent atoms:
Cs 0.2431 0.2500 0.0403 (multiplicity 2)
Tm 0.2537 0.2500 0.5545 (multiplicity 2)
Ga 0.2591 0.7500 0.3394 (multiplicity 2)
S 0.0044 0.5167 0.6875 (multiplicity 4)
S 0.4232 0.7500 0.5694 (multiplicity 2)
S 0.4619 0.7500 0.1962 (multiplicity 2)

Computed properties:
- Formation energy from raw total energies: -1.219 eV/atom
- Total moment: 0.1 μB/f.u.

[3]
Density functional theory data (PBE-GGA) for Cs2UGaS5 after structural relaxation.

abc: 4.0663 19.9234 14.9187
angles: 90.00 90.00 90.00
Space group Cmc2_1 (No. 36)
One atom of each set of equivalent atoms:
Cs 0.0000 0.1163 0.0000 (multiplicity 4)
Cs 0.0000 0.1272 0.6426 (multiplicity 4)
U 0.0000 0.1993 0.3420 (multiplicity 4)
Ga 0.0000 0.4298 0.7438 (multiplicity 4)
S 0.0000 0.0631 0.3371 (multiplicity 4)
S 0.0000 0.3014 0.9545 (multiplicity 4)
S 0.0000 0.3117 0.7199 (multiplicity 4)
S 0.0000 0.3208 0.3249 (multiplicity 4)
S 0.0000 0.4896 0.6238 (multiplicity 4)

Computed properties:
- Formation energy from raw total energies: -1.151 eV/atom
- Total moment: 1.0 μB/f.u.

[4]
Density functional theory data (PBE-GGA) for CsV2GaS after structural relaxation.

abc: 5.5656 5.5656 5.9048
angles: 90.00 90.00 90.00
Space group P4/mmm (No. 123)
One atom of each set of equivalent atoms:
Cs 0.0000 0.0000 0.0000 (multiplicity 1)
V 0.0000 0.5000 0.0000 (multiplicity 2)
Ga 0.5000 0.5000 0.5000 (multiplicity 1)
S 0.0000 0.0000 0.5000 (multiplicity 1)

Computed properties:
- Formation energy from raw total energies: 2.049 eV/atom
- Total moment: 8.3 μB/f.u.

[5]
Density functional theory data (PBE-GGA) for Cs2VGaS4 after structural relaxation.

abc: 5.9566 14.2026 24.9835
angles: 90.00 90.00 90.00
Space group Fddd (No. 70, origin choice 2)
One atom of each set of equivalent atoms:
Cs 0.1250 0.1250 0.3022 (multiplicity 16)
V 0.1250 0.1250 0.1250 (multiplicity 8)
Ga 0.1250 0.1250 0.6250 (multiplicity 8)
S 0.1248 0.2854 0.4239 (multiplicity 32)

Computed properties:
- Formation energy from raw total energies: -1.027 eV/atom
- Total moment: 2.0 μB/f.u.

[6]
Density functional theory data (PBE-GGA) for Cs2YGaS after structural relaxation.

abc: 7.3832 7.3832 4.8436
angles: 90.00 90.00 90.00
Space group P4/mmm (No. 123)
One atom of each set of equivalent atoms:
Cs 0.0000 0.5000 0.0000 (multiplicity 2)
Y 0.0000 0.0000 0.5000 (multiplicity 1)
Ga 0.5000 0.5000 0.0000 (multiplicity 1)
S 0.5000 0.5000 0.5000 (multiplicity 1)

Computed properties:
- Formation energy from raw total energies: 0.404 eV/atom
- Total moment: 1.8 μB/f.u.

[7]
Density functional theory data (PBE-GGA) for CsYGaS4 after structural relaxation.

abc: 6.9221 5.7284 9.8895
angles: 90.00 104.66 90.00
Space group P2_1/m (No. 11)
One atom of each set of equivalent atoms:
Cs 0.2438 0.2500 0.0394 (multiplicity 2)
Y 0.2532 0.2500 0.5550 (multiplicity 2)
Ga 0.2584 0.7500 0.3373 (multiplicity 2)
S 0.0021 0.5168 0.6905 (multiplicity 4)
S 0.4181 0.7500 0.5673 (multiplicity 2)
S 0.4590 0.7500 0.1944 (multiplicity 2)

Computed properties:
- Formation energy from raw total energies: -1.238 eV/atom
- Total moment: 0.1 μB/f.u.

[8]
Density functional theory data (PBE-GGA) for Cs2ZrGaS after structural relaxation.

abc: 6.9794 6.9794 4.6917
angles: 90.00 90.00 90.00
Space group P4/mmm (No. 123)
One atom of each set of equivalent atoms:
Cs 0.0000 0.5000 0.0000 (multiplicity 2)
Zr 0.0000 0.0000 0.5000 (multiplicity 1)
Ga 0.5000 0.5000 0.5000 (multiplicity 1)
S 0.5000 0.5000 0.0000 (multiplicity 1)

Computed properties:
- Formation energy from raw total energies: 0.587 eV/atom
- Total moment: 3.2 μB/f.u.